1.
A relaxed structure of PmHoSiGe, computed with PBE.

```
4
Lattice="-3.4625 -0.9403 -2.4616 0.6169 -3.8438 0.6005 -1.4176 0.6462 5.5928" Properties=species:S:1:pos:R:3 pbc="T T T"
Ho -3.7045 -2.2645 2.2303
Pm -0.8855 0.0495 1.2266
Ge -1.9135 -2.3646 -0.2508
Si -2.6398 0.1476 3.6568
```

Properties
E_form (uncorrected) = -0.816 eV per atom

---

2.
A relaxed structure of PmHoSiGe, computed with PBE.

```
4
Lattice="5.0861 0.0000 0.0000 2.5431 4.4047 0.0000 2.5431 1.4682 4.1528" Properties=species:S:1:pos:R:3 pbc="T T T"
Pm 0.0000 0.0000 0.0000
Si 7.6292 4.4047 3.1146
Ge 2.5431 1.4682 1.0382
Ho 5.0861 2.9365 2.0764
```

Properties
E_form (uncorrected) = -0.481 eV per atom

---

3.
A relaxed structure of PmHoSnGe, computed with PBE.

```
4
Lattice="5.2754 0.0000 0.0000 2.6377 4.5686 0.0000 2.6377 1.5229 4.3073" Properties=species:S:1:pos:R:3 pbc="T T T"
Ho 0.0000 0.0000 0.0000
Ge 7.9131 4.5686 3.2305
Sn 2.6377 1.5229 1.0768
Pm 5.2754 3.0457 2.1537
```

Properties
calculated formation energy = -0.534 eV/atom

---

4.
A relaxed structure of PmHo2Zn2Ge2, computed with PBE.

```
7
Lattice="-1.7248 3.6180 -1.0596 -4.1267 0.3953 -0.0434 -1.7544 4.5572 10.3060" Properties=species:S:1:pos:R:3 pbc="T T T"
Ho -5.7784 5.2122 2.8718
Ho -1.8274 3.3583 6.3311
Zn -3.8663 3.2454 1.1541
Zn -3.7396 5.3251 8.0488
Ge -5.6961 6.5637 7.3526
Ge -1.9097 2.0068 1.8503
Pm 0.0000 0.0000 0.0000
```

Properties
calculated formation energy = -0.454 eV/atom

---

5.
A relaxed structure of Pm2HoZn2Ge2, computed with PBE.

```
7
Lattice="4.1625 0.0000 0.0000 2.0813 3.6049 0.0000 2.0813 1.2016 11.2958" Properties=species:S:1:pos:R:3 pbc="T T T"
Zn 4.1625 2.4032 2.1053
Zn 4.1625 2.4032 9.1905
Ge 6.2438 3.6049 9.3574
Ge 2.0813 1.2016 1.9384
Pm 6.2438 3.6049 4.1109
Pm 2.0813 1.2016 7.1849
Ho 0.0000 0.0000 0.0000
```

Properties
calculated formation energy = -0.467 eV/atom

---

6.
A relaxed structure of Pr5HoGe4, computed with PBE.

```
10
Lattice="5.1174 0.0000 0.0000 0.0000 6.5607 -2.6042 -2.5587 -3.4543 9.9726" Properties=species:S:1:pos:R:3 pbc="T T T"
Pr 2.5587 2.1205 4.9055
Pr 2.5587 -1.2082 6.2573
Pr 2.5587 3.2804 -1.3021
Pr 0.0000 4.3146 1.1110
Pr 0.0000 0.9859 2.4628
Ge 2.5587 1.4846 7.8613
Ge 0.0000 3.6461 4.1407
Ge 0.0000 1.6218 -0.4929
Ge 2.5587 -0.5397 3.2276
Ho 2.5587 0.0000 0.0000
```

Properties
calculated formation energy = -0.605 eV/atom

---

7.
A relaxed structure of PrHoGe2, computed with PBE.

```
4
Lattice="-2.4574 -3.1782 -1.7889 3.3375 -2.1178 -0.8221 0.8660 -0.8750 5.7700" Properties=species:S:1:pos:R:3 pbc="T T T"
Pr 0.9471 -2.8430 1.2552
Ho -0.9205 -3.1407 4.3538
Ge 2.0150 -2.3533 4.3291
Ge 0.4655 -0.4769 3.1187
```

Properties
calculated formation energy = -0.828 eV/atom

---

8.
A relaxed structure of PrHoGe2, computed with PBE.

```
4
Lattice="4.6745 0.0000 0.0000 2.3372 4.0482 0.0000 2.3372 1.3494 5.4415" Properties=species:S:1:pos:R:3 pbc="T T T"
Ho 0.0000 0.0000 0.0000
Ge 7.0117 4.0482 4.2338
Ge 2.3372 1.3494 1.2077
Pr 4.6745 2.6988 2.7208
```

Properties
calculated formation energy = -0.673 eV/atom

---

9.
A relaxed structure of PrHo4Ge4, computed with PBE.

```
18
Lattice="5.7692 0.0000 0.0000 0.0000 9.3220 0.0000 0.0000 0.0000 9.3220" Properties=species:S:1:pos:R:3 pbc="T T T"
Ho 5.1207 5.6504 7.8798
Ho 3.5331 8.3326 6.1032
Ho 2.2361 3.2188 8.3326
Ho 0.6485 7.8798 3.6716
Ho 5.1207 3.6716 1.4422
Ho 2.2361 6.1032 0.9894
Ho 0.6485 1.4422 5.6504
Ho 3.5331 0.9894 3.2188
Pr 2.8846 4.6610 4.6610
Pr 0.0000 0.0000 0.0000
Ge 5.1590 2.7274 7.9596
Ge 0.6102 1.3624 2.7274
Ge 2.2744 3.2986 1.9336
Ge 3.4948 1.9336 6.0234
Ge 0.6102 7.9596 6.5946
Ge 2.2744 6.0234 7.3884
Ge 3.4948 7.3884 3.2986
Ge 5.1590 6.5946 1.3624
```

Properties
calculated formation energy = -0.579 eV/atom

---

10.
A relaxed structure of PrHoGe, computed with PBE.

```
6
Lattice="4.3175 0.0000 -0.0004 2.1588 3.7395 0.0001 -0.0006 0.0005 11.5654" Properties=species:S:1:pos:R:3 pbc="T T T"
Ge 4.0383 0.8505 1.7661
Ge 4.0378 0.8506 4.9190
Ho 4.0378 3.3436 3.3433
Ho 4.0372 0.8508 9.1257
Pr 1.8788 2.0972 6.4729
Pr 1.8792 2.0969 0.2136
```

Properties
calculated formation energy = -0.380 eV/atom

---

11.
A relaxed structure of PrHoGe, computed with PBE.

```
3
Lattice="4.3032 0.0000 0.0000 0.0000 4.7770 0.0000 0.0000 -2.3885 4.1370" Properties=species:S:1:pos:R:3 pbc="T T T"
Ho 0.5032 0.0000 0.0000
Ge 1.0477 0.0000 2.7580
Pr 2.7523 2.3885 1.3790
```

Properties
calculated formation energy = -0.424 eV/atom

---

12.
A relaxed structure of Pr2Ho3Ge4, computed with PBE.

```
18
Lattice="-1.9338 -7.4074 0.2298 7.8864 0.7653 0.1601 -0.1892 0.2948 7.9108" Properties=species:S:1:pos:R:3 pbc="T T T"
Ho 1.3342 -1.4200 5.3762
Ho 0.3361 -5.0751 6.7953
Ho 4.4293 -4.9274 2.9245
Ho 5.4273 -1.2723 1.5054
Ho 2.9763 -3.3211 0.1949
Ho 3.8486 0.5300 4.0355
Ge 5.9492 -4.1277 0.6143
Ge 6.8367 -0.3003 3.8197
Ge 2.1822 -6.0068 1.3147
Ge 3.1040 -2.2329 3.0820
Ge -1.0732 -6.0470 4.4810
Ge 2.6594 -4.1144 5.2187
Ge 3.5813 -0.3406 6.9860
Ge -0.1858 -2.2196 7.6864
Pr 5.3893 -2.3727 5.5996
Pr 4.3955 -6.0346 6.8372
Pr 0.3742 -3.9746 2.7011
Pr 1.3679 -0.3127 1.4635
```

Properties
calculated formation energy = -0.874 eV/atom

---

13.
A relaxed structure of Pr2HoGe, computed with PBE.

```
4
Lattice="-1.6841 0.4563 -4.5130 -1.0515 -4.6558 -0.0783 -4.3499 0.9535 1.7197" Properties=species:S:1:pos:R:3 pbc="T T T"
Ho -0.8421 0.2281 -2.2565
Pr -2.1749 0.4767 0.8598
Pr -0.5257 -2.3279 -0.0392
Ge -3.5428 -1.6230 -1.4358
```

Properties
calculated formation energy = -0.321 eV/atom